A relaxed structure of PmEr5Ru6, computed with PBE-GGA.

Values from the calculation:
Density of states at the Fermi level = 1.03 states/eV per atom
Crystal system = orthorhombic
Size of the total moment = 0.0 μB/cell
VASP energy = -87.25 eV per formula unit
Energy of formation = -32 kJ per mole of atoms
SG = Immm (71)

Cell lengths 4.7943, 6.7881, 8.2865 Å; angles 114.18, 106.82, 90.00 degrees
Last column: nearest neighbours and their distance in Å.
Atoms (fractional coordinates):
Ru  0.8321  0.5807  0.6642  7 Er 2.89-2.94, 1 Pm 2.95
Ru  0.8321  0.0835  0.6642  7 Er 2.89-2.94, 1 Pm 2.95
Ru  0.5000  0.7468  0.0000  6 Er 2.92-2.97, 2 Pm 2.95
Ru  0.5000  0.2532  0.0000  6 Er 2.92-2.97, 2 Pm 2.95
Ru  0.1679  0.9165  0.3358  7 Er 2.89-2.94, 1 Pm 2.95
Ru  0.1679  0.4193  0.3358  7 Er 2.89-2.94, 1 Pm 2.95
Er  0.6689  0.1689  0.3377  8 Ru 2.89-2.97
Er  0.3335  0.3335  0.6670  8 Ru 2.92-2.93
Er  0.0000  0.5000  0.0000  8 Ru 2.92-2.94
Er  0.6665  0.6665  0.3330  8 Ru 2.92-2.93
Er  0.3311  0.8311  0.6623  8 Ru 2.89-2.97
Pm  0.0000  0.0000  0.0000  8 Ru 2.95


A relaxed structure of PmEr3Ru4, computed with PBE-GGA.

Values from the calculation:
Density of states at the Fermi level = 1.09 states/eV per atom
Crystal system = tetragonal
Size of the total moment = 0.0 μB/cell
VASP energy = -58.02 eV per formula unit
Energy of formation = -30 kJ per mole of atoms
SG = P4/mmm (123)

Cell lengths 4.8011, 6.8110, 9.6026 Å; angles 90.00, 90.00, 90.00 degrees
Last column: nearest neighbours and their distance in Å.
Atoms (fractional coordinates):
Ru  0.5000  0.7541  0.0000  6 Er 2.93-2.96, 2 Pm 2.96
Ru  0.5000  0.7541  0.5000  6 Er 2.93-2.96, 2 Pm 2.96
Ru  0.5000  0.2459  0.0000  6 Er 2.93-2.96, 2 Pm 2.96
Ru  0.5000  0.2459  0.5000  6 Er 2.93-2.96, 2 Pm 2.96
Ru  0.0002  0.7541  0.7500  6 Er 2.93-2.96, 2 Pm 2.96
Ru  0.9998  0.7541  0.2500  6 Er 2.93-2.96, 2 Pm 2.96
Ru  0.9998  0.2459  0.2500  6 Er 2.93-2.96, 2 Pm 2.96
Ru  0.0002  0.2459  0.7500  6 Er 2.93-2.96, 2 Pm 2.96
Er  0.0000  0.0000  0.0000  8 Ru 2.93
Er  0.0000  0.0000  0.5000  8 Ru 2.93
Er  0.5001  0.0000  0.7500  8 Ru 2.93
Er  0.4999  0.0000  0.2500  8 Ru 2.93
Er  0.5002  0.5000  0.7500  8 Ru 2.96
Er  0.4998  0.5000  0.2500  8 Ru 2.96
Pm  0.0000  0.5000  0.0000  8 Ru 2.96
Pm  0.0000  0.5000  0.5000  8 Ru 2.96


A relaxed structure of PmEr3Ru8, computed with PBE-GGA.

Values from the calculation:
Density of states at the Fermi level = 1.25 states/eV per atom
Crystal system = trigonal
Size of the total moment = 0.0 μB/cell
VASP energy = -96.10 eV per formula unit
Energy of formation = -28 kJ per mole of atoms
SG = R3m (160)

Cell lengths 5.3238, 5.3238, 9.2803 Å; angles 73.33, 73.33, 60.00 degrees
Last column: nearest neighbours and their distance in Å.
Atoms (fractional coordinates):
Pm  0.8748  0.8748  0.3757  12 Ru 3.12-3.17, 4 Er 3.26-3.29
Er  0.3752  0.3752  0.8743  12 Ru 3.11-3.12, 4 Er 3.26-3.27
Er  0.0000  0.0000  0.9999  12 Ru 3.10-3.12, 3 Er 3.26, 1 Pm 3.29
Er  0.4996  0.4996  0.5012  12 Ru 3.12-3.18, 3 Pm 3.26, 1 Er 3.27
Ru  0.9407  0.4378  0.1836  6 Ru 2.65-2.70
Ru  0.4331  0.9379  0.6912  6 Ru 2.64-2.69
Ru  0.4378  0.4378  0.1836  6 Ru 2.65-2.70
Ru  0.9379  0.9379  0.6912  6 Ru 2.64-2.69
Ru  0.1874  0.1874  0.4377  6 Ru 2.69-2.70
Ru  0.6878  0.6878  0.9367  6 Ru 2.65-2.66
Ru  0.4378  0.9407  0.1836  6 Ru 2.65-2.70
Ru  0.9379  0.4331  0.6912  6 Ru 2.64-2.69